Entry from the Alexandria database: a relaxed Pb2WO4F crystal (PBE+U).

The space group is C2/m (No. 12) and the conventional cell measures 11.373, 3.345 and 7.177 Å, with angles of 90.00, 118.61 and 90.00 degrees. The inequivalent atoms are Pb at (0.188, 0.000, 0.186), W at (0.000, 0.000, 0.500), O at (0.095, 0.500, 0.451), O at (0.145, 0.000, 0.794) and F at (0.000, 0.500, 0.000).

As for the total energy: -99.6 eV for the cell shown. The theoretical density comes out at 9.439 Mg/m³. Its total magnetization is 0.125 μB/atom.